RbTiMn2F | Alexandria | PBE+U | relaxed; M_tot = 7.3 μB/f.u.; total DFT energy (no corrections) = -4.2756 eV/atom
1.0
6.0203 0.0000 0.0000
0.0000 6.0203 0.0000
0.0000 0.0000 4.5601
Rb Ti Mn F
1 1 2 1
Cartesian
0.0000 0.0000 0.0000
3.0101 3.0101 2.2801
0.0000 3.0101 0.0000
3.0101 0.0000 0.0000
0.0000 0.0000 2.2801